Zr3Tl2 | SCAN | PBEsol geometry

Results
Energy above the most stable polymorph in this dataset ... 0 meV per atom

abc: 5.9837 5.9563 7.8348
angles: 101.06 112.45 59.85
With the nearest neighbours (Å) after each atom.
Fractional coordinates of all 10 atoms:
Zr (0.5022, 0.6152, 0.2988)  5 Tl 2.99-3.15, 5 Zr 3.06-3.22
Zr (0.9402, 0.0000, 0.0000)  6 Tl 2.94-3.22, 4 Zr 3.22
Zr (0.4534, 0.1152, 0.2012)  5 Tl 2.99-3.15, 5 Zr 3.06-3.22
Zr (0.1902, 0.5000, 0.5000)  6 Tl 2.94-3.22, 4 Zr 3.22
Zr (0.8186, 0.3848, 0.7012)  5 Tl 2.99-3.15, 5 Zr 3.06-3.22
Zr (0.3674, 0.8848, 0.7988)  5 Tl 2.99-3.15, 5 Zr 3.06-3.22
Tl (0.0328, 0.0720, 0.3986)  8 Zr 2.94-3.22
Tl (0.7062, 0.9280, 0.6014)  8 Zr 2.94-3.22
Tl (0.3548, 0.4280, 0.8986)  8 Zr 2.94-3.22
Tl (0.8843, 0.5720, 0.1014)  8 Zr 2.94-3.22

=====

ZrTl | SCAN | PBEsol geometry

abc: 3.2800 5.2521 6.0130
angles: 115.36 105.83 90.00
With the nearest neighbours (Å) after each atom.
Fractional coordinates of all 4 atoms:
Tl (0.1246, 0.4435, 0.2493)  7 Zr 3.07-3.24, 5 Tl 3.15-3.28
Tl (0.8754, 0.5565, 0.7507)  7 Zr 3.07-3.24, 5 Tl 3.15-3.28
Zr (0.3739, 0.0610, 0.7478)  7 Tl 3.07-3.24, 5 Zr 3.11-3.28
Zr (0.6261, 0.9390, 0.2522)  7 Tl 3.07-3.24, 5 Zr 3.11-3.28

=====

Zr3Tl | SCAN | PBEsol geometry

abc: 5.1733 6.2226 6.2226
angles: 120.00 90.00 90.00
With the nearest neighbours (Å) after each atom.
Fractional coordinates of all 8 atoms:
Tl (0.2500, 0.3333, 0.6667)  12 Zr 3.11-3.14
Tl (0.7500, 0.6667, 0.3333)  12 Zr 3.11-3.14
Zr (0.2500, 0.8324, 0.1676)  8 Zr 3.09-3.15, 4 Tl 3.11-3.14
Zr (0.7500, 0.1676, 0.8324)  8 Zr 3.09-3.15, 4 Tl 3.11-3.14
Zr (0.7500, 0.6649, 0.8324)  8 Zr 3.09-3.15, 4 Tl 3.11-3.14
Zr (0.2500, 0.3351, 0.1676)  8 Zr 3.09-3.15, 4 Tl 3.11-3.14
Zr (0.2500, 0.8324, 0.6649)  8 Zr 3.09-3.15, 4 Tl 3.11-3.14
Zr (0.7500, 0.1676, 0.3351)  8 Zr 3.09-3.15, 4 Tl 3.11-3.14

=====

Zr3Tl | SCAN | PBEsol geometry

abc: 3.0999 5.7941 5.7941
angles: 116.89 100.27 100.27
With the nearest neighbours (Å) after each atom.
Fractional coordinates of all 4 atoms:
Zr (0.0000, 0.5000, 0.5000)  6 Zr 3.03-3.10, 2 Tl 3.03
Zr (0.5000, 0.5000, 0.0000)  6 Zr 3.03-3.10, 2 Tl 3.03
Zr (0.5000, 0.0000, 0.5000)  2 Tl 3.03, 6 Zr 3.03-3.10
Tl (0.0000, 0.0000, 0.0000)  6 Zr 3.03, 2 Tl 3.10

=====

Zr5Tl | SCAN | PBEsol geometry

Results
Energy above the most stable polymorph in this dataset ... 0 meV per atom

abc: 4.3634 4.3877 7.1945
angles: 72.25 90.00 90.00
With the nearest neighbours (Å) after each atom.
Fractional coordinates of all 6 atoms:
Tl (0.0000, 0.5000, 0.0000)  12 Zr 3.09-3.17
Zr (0.5000, 0.6662, 0.6676)  10 Zr 3.09-3.18, 2 Tl 3.15
Zr (0.0000, 0.1667, 0.6666)  10 Zr 3.09-3.17, 2 Tl 3.17
Zr (0.0000, 0.8333, 0.3334)  10 Zr 3.09-3.17, 2 Tl 3.17
Zr (0.5000, 0.0000, 0.0000)  4 Tl 3.09, 8 Zr 3.16
Zr (0.5000, 0.3338, 0.3324)  10 Zr 3.09-3.18, 2 Tl 3.15

=====

ZrTl | SCAN | PBEsol geometry

abc: 3.2105 3.2105 5.0802
angles: 90.00 90.00 120.00
With the nearest neighbours (Å) after each atom.
Fractional coordinates of all 2 atoms:
Tl (0.0000, 0.0000, 0.0000)  6 Zr 3.14, 6 Tl 3.21
Zr (0.3333, 0.6667, 0.5000)  6 Tl 3.14, 6 Zr 3.21

=====

Zr3Tl | SCAN | PBEsol geometry

abc: 5.5737 5.5737 5.5737
angles: 90.00 90.00 90.00
With the nearest neighbours (Å) after each atom.
Fractional coordinates of all 8 atoms:
Tl (0.0000, 0.0000, 0.0000)  12 Zr 3.12
Tl (0.5000, 0.5000, 0.5000)  12 Zr 3.12
Zr (0.2500, 0.5000, 0.0000)  2 Zr 2.79, 4 Tl 3.12
Zr (0.5000, 0.0000, 0.7500)  2 Zr 2.79, 4 Tl 3.12
Zr (0.0000, 0.7500, 0.5000)  2 Zr 2.79, 4 Tl 3.12
Zr (0.5000, 0.0000, 0.2500)  2 Zr 2.79, 4 Tl 3.12
Zr (0.7500, 0.5000, 0.0000)  2 Zr 2.79, 4 Tl 3.12
Zr (0.0000, 0.2500, 0.5000)  2 Zr 2.79, 4 Tl 3.12

=====

Zr5Tl | SCAN | PBEsol geometry

Results
Energy above the most stable polymorph in this dataset ... 88 meV per atom

abc: 3.1350 3.1350 13.5535
angles: 90.00 90.00 90.00
With the nearest neighbours (Å) after each atom.
Fractional coordinates of all 6 atoms:
Zr (0.0000, 0.0000, 0.0000)  12 Zr 3.13-3.14
Zr (0.0000, 0.0000, 0.3307)  8 Zr 3.13-3.16, 4 Tl 3.19
Zr (0.0000, 0.0000, 0.6693)  8 Zr 3.13-3.16, 4 Tl 3.19
Zr (0.5000, 0.5000, 0.8360)  12 Zr 3.13-3.16
Zr (0.5000, 0.5000, 0.1640)  12 Zr 3.13-3.16
Tl (0.5000, 0.5000, 0.5000)  4 Tl 3.13, 8 Zr 3.19

=====

ZrTl3 | SCAN | PBEsol geometry

abc: 3.2245 5.3635 5.5598
angles: 90.00 90.00 90.00
With the nearest neighbours (Å) after each atom.
Fractional coordinates of all 4 atoms:
Zr (0.0000, 0.5000, 0.3471)  10 Tl 3.21-3.32, 2 Zr 3.22
Tl (0.0000, 0.0000, 0.9947)  10 Tl 3.13-3.30, 2 Zr 3.32
Tl (0.5000, 0.5000, 0.8474)  4 Zr 3.21-3.22, 8 Tl 3.22-3.38
Tl (0.5000, 0.0000, 0.4775)  8 Tl 3.13-3.38, 4 Zr 3.21

=====

ZrTl | SCAN | PBEsol geometry

abc: 3.2188 3.2188 5.3614
angles: 72.42 72.42 59.88
With the nearest neighbours (Å) after each atom.
Fractional coordinates of all 2 atoms:
Zr (0.5000, 0.5000, 0.5000)  6 Tl 3.12-3.13, 6 Zr 3.21-3.22
Tl (0.0000, 0.0000, 0.0000)  6 Zr 3.12-3.13, 6 Tl 3.21-3.22

=====

Zr3Tl | SCAN | PBEsol geometry

abc: 5.1686 5.5913 6.0563
angles: 90.00 90.00 90.00
With the nearest neighbours (Å) after each atom.
Fractional coordinates of all 8 atoms:
Tl (0.5000, 0.6594, 0.5000)  12 Zr 3.03-3.23
Tl (0.0000, 0.3406, 0.0000)  12 Zr 3.03-3.23
Zr (0.5000, 0.1484, 0.7503)  8 Zr 3.02-3.21, 4 Tl 3.13-3.23
Zr (0.5000, 0.6464, 0.0000)  4 Tl 3.03-3.10, 8 Zr 3.17-3.21
Zr (0.0000, 0.8516, 0.7497)  8 Zr 3.02-3.21, 4 Tl 3.13-3.23
Zr (0.0000, 0.8516, 0.2503)  8 Zr 3.02-3.21, 4 Tl 3.13-3.23
Zr (0.0000, 0.3536, 0.5000)  4 Tl 3.03-3.10, 8 Zr 3.17-3.21
Zr (0.5000, 0.1484, 0.2497)  8 Zr 3.02-3.21, 4 Tl 3.13-3.23

=====

YTm3 | SCAN | PBEsol geometry

abc: 5.4646 7.0416 7.0416
angles: 120.00 90.00 90.00
With the nearest neighbours (Å) after each atom.
Fractional coordinates of all 8 atoms:
Tm (0.7500, 0.8344, 0.1656)  8 Tm 3.40-3.54, 4 Y 3.41-3.52
Tm (0.2500, 0.1656, 0.8344)  8 Tm 3.40-3.54, 4 Y 3.41-3.52
Tm (0.2500, 0.1656, 0.3313)  8 Tm 3.40-3.54, 4 Y 3.41-3.52
Tm (0.2500, 0.6687, 0.8344)  8 Tm 3.40-3.54, 4 Y 3.41-3.52
Tm (0.7500, 0.3313, 0.1656)  8 Tm 3.40-3.54, 4 Y 3.41-3.52
Tm (0.7500, 0.8344, 0.6687)  8 Tm 3.40-3.54, 4 Y 3.41-3.52
Y (0.7500, 0.3333, 0.6667)  12 Tm 3.41-3.52
Y (0.2500, 0.6667, 0.3333)  12 Tm 3.41-3.52

=====

YTmZn2 | SCAN | PBEsol geometry

abc: 4.9351 4.9351 4.9351
angles: 60.00 60.00 60.00
With the nearest neighbours (Å) after each atom.
Fractional coordinates of all 4 atoms:
Zn (0.7500, 0.7500, 0.7500)  4 Y 3.02, 4 Tm 3.02
Zn (0.2500, 0.2500, 0.2500)  4 Tm 3.02, 4 Y 3.02
Tm (0.5000, 0.5000, 0.5000)  8 Zn 3.02
Y (0.0000, 0.0000, 0.0000)  8 Zn 3.02

=====

Tm6Zn23 | SCAN | PBEsol geometry

abc: 8.7388 8.7388 8.7388
angles: 60.00 60.00 60.00
With the nearest neighbours (Å) after each atom.
Fractional coordinates of all 29 atoms:
Zn (0.3290, 0.3290, 0.3290)  9 Zn 2.52-2.76
Zn (0.3290, 0.3290, 0.0131)  9 Zn 2.52-2.76
Zn (0.6710, 0.9869, 0.6710)  9 Zn 2.52-2.76
Zn (0.8777, 0.8777, 0.3668)  7 Zn 2.62-2.70
Zn (0.3668, 0.8777, 0.8777)  7 Zn 2.62-2.70
Zn (0.0000, 0.0000, 0.0000)  8 Zn 2.62
Zn (0.0000, 0.5000, 0.5000)  8 Zn 2.52-2.70
Zn (0.3290, 0.0131, 0.3290)  9 Zn 2.52-2.76
Zn (0.6710, 0.6710, 0.9869)  9 Zn 2.52-2.76
Zn (0.6710, 0.6710, 0.6710)  9 Zn 2.52-2.76
Zn (0.5000, 0.5000, 0.0000)  8 Zn 2.52-2.70
Zn (0.6332, 0.1223, 0.1223)  7 Zn 2.62-2.70
Zn (0.9869, 0.6710, 0.6710)  9 Zn 2.52-2.76
Zn (0.0000, 0.5000, 0.0000)  8 Zn 2.52-2.70
Zn (0.0000, 0.0000, 0.5000)  8 Zn 2.52-2.70
Zn (0.0131, 0.3290, 0.3290)  9 Zn 2.52-2.76
Zn (0.1223, 0.1223, 0.1223)  7 Zn 2.62-2.70
Zn (0.1223, 0.6332, 0.1223)  7 Zn 2.62-2.70
Zn (0.8777, 0.8777, 0.8777)  7 Zn 2.62-2.70
Zn (0.1223, 0.1223, 0.6332)  7 Zn 2.62-2.70
Zn (0.5000, 0.0000, 0.5000)  8 Zn 2.52-2.70
Zn (0.5000, 0.0000, 0.0000)  8 Zn 2.52-2.70
Zn (0.8777, 0.3668, 0.8777)  7 Zn 2.62-2.70
Tm (0.2949, 0.7051, 0.2949)  12 Zn 3.02-3.14
Tm (0.7051, 0.2949, 0.7051)  12 Zn 3.02-3.14
Tm (0.7051, 0.2949, 0.2949)  12 Zn 3.02-3.14
Tm (0.7051, 0.7051, 0.2949)  12 Zn 3.02-3.14
Tm (0.2949, 0.2949, 0.7051)  12 Zn 3.02-3.14
Tm (0.2949, 0.7051, 0.7051)  12 Zn 3.02-3.14

=====

Tm2Zn17 | SCAN | PBEsol geometry

abc: 6.6259 6.6259 6.6259
angles: 82.78 82.78 82.78
With the nearest neighbours (Å) after each atom.
Fractional coordinates of all 19 atoms:
Zn (0.6474, 0.1612, 0.6474)  8 Zn 2.49-2.69
Zn (0.0000, 0.2984, 0.7016)  8 Zn 2.52-2.69
Zn (0.1612, 0.6474, 0.6474)  8 Zn 2.49-2.69
Zn (0.2984, 0.7016, 0.0000)  8 Zn 2.52-2.69
Zn (0.1002, 0.1002, 0.1002)  7 Zn 2.57-2.80
Zn (0.3526, 0.8388, 0.3526)  8 Zn 2.49-2.69
Zn (0.8388, 0.3526, 0.3526)  8 Zn 2.49-2.69
Zn (0.0000, 0.7016, 0.2984)  8 Zn 2.52-2.69
Zn (0.7016, 0.2984, 0.0000)  8 Zn 2.52-2.69
Zn (0.2984, 0.0000, 0.7016)  8 Zn 2.52-2.69
Zn (0.8998, 0.8998, 0.8998)  7 Zn 2.57-2.80
Zn (0.0000, 0.0000, 0.5000)  10 Zn 2.52-2.67
Zn (0.0000, 0.5000, 0.0000)  10 Zn 2.52-2.67
Zn (0.6474, 0.6474, 0.1612)  8 Zn 2.49-2.69
Zn (0.7016, 0.0000, 0.2984)  8 Zn 2.52-2.69
Zn (0.3526, 0.3526, 0.8388)  8 Zn 2.49-2.69
Zn (0.5000, 0.0000, 0.0000)  10 Zn 2.52-2.67
Tm (0.6647, 0.6647, 0.6647)  19 Zn 3.02-3.37
Tm (0.3353, 0.3353, 0.3353)  19 Zn 3.02-3.37

=====

TmZn3 | SCAN | PBEsol geometry

abc: 4.2509 6.5333 9.8003
angles: 90.00 90.00 90.00
With the nearest neighbours (Å) after each atom.
Fractional coordinates of all 16 atoms:
Zn (0.2500, 0.0376, 0.6028)  5 Zn 2.54-2.73
Zn (0.7500, 0.9624, 0.3972)  5 Zn 2.54-2.73
Zn (0.7500, 0.7833, 0.9572)  6 Zn 2.53-2.73
Zn (0.2500, 0.7167, 0.4572)  6 Zn 2.53-2.73
Zn (0.7500, 0.2833, 0.5428)  6 Zn 2.53-2.73
Zn (0.2500, 0.9207, 0.8525)  5 Zn 2.53-2.69
Zn (0.7500, 0.4624, 0.1028)  5 Zn 2.54-2.73
Zn (0.7500, 0.0793, 0.1475)  5 Zn 2.53-2.69
Zn (0.2500, 0.4207, 0.6475)  5 Zn 2.53-2.69
Zn (0.7500, 0.5793, 0.3525)  5 Zn 2.53-2.69
Zn (0.2500, 0.2167, 0.0428)  6 Zn 2.53-2.73
Zn (0.2500, 0.5376, 0.8972)  5 Zn 2.54-2.73
Tm (0.2500, 0.2780, 0.3365)  12 Zn 2.90-3.19
Tm (0.2500, 0.7780, 0.1635)  12 Zn 2.90-3.19
Tm (0.7500, 0.7220, 0.6635)  12 Zn 2.90-3.19
Tm (0.7500, 0.2220, 0.8365)  12 Zn 2.90-3.19

=====

TmZr | SCAN | PBEsol geometry

abc: 3.3273 3.3273 5.2193
angles: 90.00 90.00 120.00
With the nearest neighbours (Å) after each atom.
Fractional coordinates of all 2 atoms:
Zr (0.3333, 0.6667, 0.0000)  6 Tm 3.24, 6 Zr 3.33
Tm (0.0000, 0.0000, 0.5000)  6 Zr 3.24, 6 Tm 3.33

=====

U | SCAN | PBEsol geometry

Results
Energy above the most stable polymorph in this dataset ... 0 meV per atom

abc: 2.7421 3.1834 4.8343
angles: 90.00 90.00 115.51
With the nearest neighbours (Å) after each atom.
Fractional coordinates of all 2 atoms:
U (0.0978, 0.1957, 0.2500)  4 U 2.67-2.74
U (0.9022, 0.8043, 0.7500)  4 U 2.67-2.74

=====

V | SCAN | PBEsol geometry

abc: 2.5618 2.5618 2.5618
angles: 109.47 109.47 109.47
With the nearest neighbours (Å) after each atom.
Fractional coordinates of all 1 atoms:
V (0.0000, 0.0000, 0.0000)  8 V 2.56

=====

VW | SCAN | PBEsol geometry

abc: 3.0619 4.2877 5.0770
angles: 114.98 107.55 90.00
With the nearest neighbours (Å) after each atom.
Fractional coordinates of all 4 atoms:
V (0.6250, 0.8750, 0.2500)  6 W 2.63-2.65, 2 V 2.66
V (0.3750, 0.1250, 0.7500)  6 W 2.63-2.65, 2 V 2.66
W (0.1241, 0.3741, 0.2481)  6 V 2.63-2.65, 2 W 2.67
W (0.8759, 0.6259, 0.7519)  6 V 2.63-2.65, 2 W 2.67

=====

no.,total magnetization (μB/f.u.),formation energy from the elements (eV/f.u.)
1,0.00,-1.03
2,0.00,-0.30
3,0.00,-0.79
4,0.00,-0.28
5,0.00,-0.80
6,0.13,-0.22
7,0.00,-1.04
8,0.00,-0.28
9,0.00,0.04
10,0.00,-0.25
11,0.00,-0.73
12,0.00,0.04
13,0.00,-1.78
14,0.00,-10.73
15,0.00,-5.32
16,0.00,-1.74
17,0.10,0.11
18,0.00,0.00
19,0.01,0.00
20,0.00,-0.22